The following is a PBE calculation of an optimized crystal structure of TaHgI2Br, from Alexandria via LeMat-Bulk.

a = 5.951 Å, b = 5.951 Å, c = 5.288 Å
α = 90.00°, β = 90.00°, γ = 90.00°
Fractional coordinates of all 5 atoms:
Ta: 0.000 0.000 0.000
Hg: 0.500 0.500 0.500
I: 0.000 0.500 0.500
I: 0.500 0.000 0.500
Br: 0.500 0.500 0.000

E_form (uncorrected), eV/atom: 1.0780
D(E_F), states/eV/cell: 5.40

***

The following is a PBE calculation of an optimized crystal structure of HgTe2IBr, from Alexandria via LeMat-Bulk.

a = 5.709 Å, b = 5.709 Å, c = 5.748 Å
α = 90.00°, β = 90.00°, γ = 90.00°
Fractional coordinates of all 5 atoms:
Hg: 0.000 0.000 0.000
Te: 0.000 0.500 0.000
Te: 0.500 0.000 0.000
I: 0.000 0.000 0.500
Br: 0.500 0.500 0.500

Excess energy over the best structure of this formula in the dataset, meV/atom: 0
E_form (uncorrected), eV/atom: 0.5235
D(E_F), states/eV/cell: 6.63

***

The following is a PBE calculation of an optimized crystal structure of HgTe2IBr, from Alexandria via LeMat-Bulk.

a = 5.704 Å, b = 5.704 Å, c = 5.909 Å
α = 90.00°, β = 90.00°, γ = 90.00°
Fractional coordinates of all 5 atoms:
Hg: 0.000 0.000 0.000
Te: 0.000 0.500 0.500
Te: 0.500 0.000 0.500
I: 0.500 0.500 0.000
Br: 0.500 0.500 0.500

Excess energy over the best structure of this formula in the dataset, meV/atom: 107
E_form (uncorrected), eV/atom: 0.6308
D(E_F), states/eV/cell: 7.14

***

The following is a PBE calculation of an optimized crystal structure of Tl2HgI2Br2, from Alexandria via LeMat-Bulk.

a = 8.622 Å, b = 8.622 Å, c = 8.325 Å
α = 117.39°, β = 117.39°, γ = 30.00°
Fractional coordinates of all 7 atoms:
Tl: 0.151 0.151 0.089
Tl: 0.849 0.849 0.911
Hg: 0.000 0.000 0.500
I: 0.475 0.475 0.724
I: 0.525 0.525 0.276
Br: 0.196 0.196 0.750
Br: 0.804 0.804 0.250

E_form (uncorrected), eV/atom: -0.5581

***

The following is a PBE calculation of an optimized crystal structure of ZnHgI2Br, from Alexandria via LeMat-Bulk.

a = 5.971 Å, b = 5.971 Å, c = 5.436 Å
α = 90.00°, β = 90.00°, γ = 90.00°
Fractional coordinates of all 5 atoms:
Zn: 0.000 0.000 0.000
Hg: 0.500 0.500 0.500
I: 0.000 0.500 0.500
I: 0.500 0.000 0.500
Br: 0.500 0.500 0.000

E_form (uncorrected), eV/atom: 0.1356
D(E_F), states/eV/cell: 4.81

***

The following is a PBE calculation of an optimized crystal structure of ZrHgI2Br, from Alexandria via LeMat-Bulk.

a = 5.999 Å, b = 5.999 Å, c = 5.313 Å
α = 90.00°, β = 90.00°, γ = 90.00°
Fractional coordinates of all 5 atoms:
Zr: 0.000 0.000 0.000
Hg: 0.500 0.500 0.500
I: 0.000 0.500 0.500
I: 0.500 0.000 0.500
Br: 0.500 0.500 0.000

E_form (uncorrected), eV/atom: 0.4426
D(E_F), states/eV/cell: 3.68

***

The following is a PBE calculation of an optimized crystal structure of InHg2Br, from Alexandria via LeMat-Bulk.

a = 6.981 Å, b = 6.981 Å, c = 4.523 Å
α = 108.34°, β = 108.34°, γ = 125.96°
Fractional coordinates of all 4 atoms:
In: 0.000 0.000 0.000
Hg: 0.000 0.500 0.500
Hg: 0.500 0.000 0.500
Br: 0.500 0.500 0.000

Excess energy over the best structure of this formula in the dataset, meV/atom: 40
E_form (uncorrected), eV/atom: -0.2787
D(E_F), states/eV/cell: 0.56

***

The following is a PBE calculation of an optimized crystal structure of InHg2Br, from Alexandria via LeMat-Bulk.

a = 4.788 Å, b = 4.788 Å, c = 7.775 Å
α = 108.01°, β = 108.01°, γ = 60.08°
Fractional coordinates of all 4 atoms:
In: 0.000 0.000 0.000
Hg: 0.256 0.256 0.768
Hg: 0.511 0.511 0.533
Br: 0.730 0.730 0.190

Excess energy over the best structure of this formula in the dataset, meV/atom: 35
E_form (uncorrected), eV/atom: -0.2832
D(E_F), states/eV/cell: 0.05

***

The following is a PBE calculation of an optimized crystal structure of In2Hg3Br3, from Alexandria via LeMat-Bulk.

a = 10.520 Å, b = 10.520 Å, c = 10.520 Å
α = 81.01°, β = 81.01°, γ = 81.01°
Fractional coordinates of all 32 atoms:
In: 0.156 0.728 0.452
In: 0.240 0.240 0.240
In: 0.272 0.548 0.844
In: 0.452 0.156 0.728
In: 0.548 0.844 0.272
In: 0.728 0.452 0.156
In: 0.760 0.760 0.760
In: 0.844 0.272 0.548
Hg: 0.042 0.136 0.743
Hg: 0.136 0.743 0.042
Hg: 0.177 0.521 0.266
Hg: 0.257 0.958 0.864
Hg: 0.266 0.177 0.521
Hg: 0.479 0.734 0.823
Hg: 0.521 0.266 0.177
Hg: 0.734 0.823 0.479
Hg: 0.743 0.042 0.136
Hg: 0.823 0.479 0.734
Hg: 0.864 0.257 0.958
Hg: 0.958 0.864 0.257
Br: 0.012 0.828 0.683
Br: 0.172 0.317 0.988
Br: 0.190 0.476 0.622
Br: 0.317 0.988 0.172
Br: 0.378 0.810 0.524
Br: 0.476 0.622 0.190
Br: 0.524 0.378 0.810
Br: 0.622 0.190 0.476
Br: 0.683 0.012 0.828
Br: 0.810 0.524 0.378
Br: 0.828 0.683 0.012
Br: 0.988 0.172 0.317

E_form (uncorrected), eV/atom: -0.4098
D(E_F), states/eV/cell: 5.16

***

The following is a PBE calculation of an optimized crystal structure of In2HgBr2, from Alexandria via LeMat-Bulk.

a = 6.400 Å, b = 4.540 Å, c = 12.329 Å
α = 90.00°, β = 94.31°, γ = 90.00°
Fractional coordinates of all 10 atoms:
In: 0.109 0.250 0.195
In: 0.351 0.250 0.572
In: 0.649 0.750 0.428
In: 0.891 0.750 0.805
Hg: 0.312 0.750 0.025
Hg: 0.688 0.250 0.975
Br: 0.109 0.750 0.364
Br: 0.404 0.750 0.742
Br: 0.596 0.250 0.258
Br: 0.891 0.250 0.636

Excess energy over the best structure of this formula in the dataset, meV/atom: 0
E_form (uncorrected), eV/atom: -0.5073

***

The following is a PBE calculation of an optimized crystal structure of InHg2Br, from Alexandria via LeMat-Bulk.

a = 5.903 Å, b = 5.903 Å, c = 5.903 Å
α = 130.78°, β = 121.63°, γ = 79.77°
Fractional coordinates of all 4 atoms:
In: 0.000 0.000 0.000
Hg: 0.259 0.759 0.500
Hg: 0.517 0.517 0.000
Br: 0.787 0.287 0.500

Excess energy over the best structure of this formula in the dataset, meV/atom: 73
E_form (uncorrected), eV/atom: -0.2459
D(E_F), states/eV/cell: 0.01

***

The following is a PBE calculation of an optimized crystal structure of In2HgBr2, from Alexandria via LeMat-Bulk.

a = 10.231 Å, b = 10.231 Å, c = 10.231 Å
α = 26.12°, β = 26.12°, γ = 26.12°
Fractional coordinates of all 5 atoms:
In: 0.104 0.104 0.104
In: 0.896 0.896 0.896
Hg: 0.500 0.500 0.500
Br: 0.277 0.277 0.277
Br: 0.723 0.723 0.723

Excess energy over the best structure of this formula in the dataset, meV/atom: 28
E_form (uncorrected), eV/atom: -0.4788

***

The following is a PBE calculation of an optimized crystal structure of In12Hg3Br5, from Alexandria via LeMat-Bulk.

a = 15.689 Å, b = 15.689 Å, c = 15.689 Å
α = 109.47°, β = 109.47°, γ = 109.47°
Fractional coordinates of all 80 atoms:
In: 0.069 0.640 0.405
In: 0.069 0.929 0.665
In: 0.071 0.236 0.140
In: 0.071 0.335 0.931
In: 0.095 0.736 0.665
In: 0.095 0.860 0.431
In: 0.140 0.071 0.236
In: 0.140 0.569 0.905
In: 0.165 0.236 0.595
In: 0.165 0.429 0.569
In: 0.236 0.140 0.071
In: 0.236 0.595 0.165
In: 0.264 0.335 0.905
In: 0.264 0.429 0.360
In: 0.335 0.905 0.264
In: 0.335 0.931 0.071
In: 0.360 0.264 0.429
In: 0.360 0.595 0.931
In: 0.405 0.069 0.640
In: 0.405 0.835 0.764
In: 0.429 0.360 0.264
In: 0.429 0.569 0.165
In: 0.431 0.095 0.860
In: 0.431 0.835 0.571
In: 0.569 0.165 0.429
In: 0.569 0.905 0.140
In: 0.571 0.431 0.835
In: 0.571 0.640 0.736
In: 0.595 0.165 0.236
In: 0.595 0.931 0.360
In: 0.640 0.405 0.069
In: 0.640 0.736 0.571
In: 0.665 0.069 0.929
In: 0.665 0.095 0.736
In: 0.736 0.571 0.640
In: 0.736 0.665 0.095
In: 0.764 0.405 0.835
In: 0.764 0.860 0.929
In: 0.835 0.571 0.431
In: 0.835 0.764 0.405
In: 0.860 0.431 0.095
In: 0.860 0.929 0.764
In: 0.905 0.140 0.569
In: 0.905 0.264 0.335
In: 0.929 0.665 0.069
In: 0.929 0.764 0.860
In: 0.931 0.071 0.335
In: 0.931 0.360 0.595
Hg: 0.125 0.250 0.375
Hg: 0.125 0.375 0.750
Hg: 0.250 0.375 0.125
Hg: 0.250 0.875 0.625
Hg: 0.375 0.125 0.250
Hg: 0.375 0.750 0.125
Hg: 0.625 0.250 0.875
Hg: 0.625 0.875 0.750
Hg: 0.750 0.125 0.375
Hg: 0.750 0.625 0.875
Hg: 0.875 0.625 0.250
Hg: 0.875 0.750 0.625
Br: 0.000 0.000 0.000
Br: 0.000 0.000 0.500
Br: 0.000 0.500 0.000
Br: 0.000 0.500 0.500
Br: 0.125 0.750 0.875
Br: 0.125 0.875 0.250
Br: 0.250 0.125 0.875
Br: 0.250 0.625 0.375
Br: 0.375 0.250 0.625
Br: 0.375 0.625 0.750
Br: 0.500 0.000 0.000
Br: 0.500 0.000 0.500
Br: 0.500 0.500 0.000
Br: 0.500 0.500 0.500
Br: 0.625 0.375 0.250
Br: 0.625 0.750 0.375
Br: 0.750 0.375 0.625
Br: 0.750 0.875 0.125
Br: 0.875 0.125 0.750
Br: 0.875 0.250 0.125

E_form (uncorrected), eV/atom: -0.0690
D(E_F), states/eV/cell: 32.94

***

The following is a PBE calculation of an optimized crystal structure of In3Hg2Br4, from Alexandria via LeMat-Bulk.

a = 11.234 Å, b = 11.234 Å, c = 7.316 Å
α = 91.30°, β = 91.30°, γ = 43.60°
Fractional coordinates of all 18 atoms:
In: 0.106 0.894 0.750
In: 0.209 0.450 0.557
In: 0.450 0.209 0.057
In: 0.550 0.791 0.943
In: 0.791 0.550 0.443
In: 0.894 0.106 0.250
Hg: 0.082 0.421 0.187
Hg: 0.421 0.082 0.687
Hg: 0.579 0.918 0.313
Hg: 0.918 0.579 0.813
Br: 0.001 0.219 0.573
Br: 0.219 0.001 0.073
Br: 0.320 0.505 0.869
Br: 0.495 0.680 0.631
Br: 0.505 0.320 0.369
Br: 0.680 0.495 0.131
Br: 0.781 0.999 0.927
Br: 0.999 0.781 0.427

E_form (uncorrected), eV/atom: -0.4967
D(E_F), states/eV/cell: 2.76

***

The following is a PBE calculation of an optimized crystal structure of In6Hg12Br, from Alexandria via LeMat-Bulk.

a = 7.812 Å, b = 9.022 Å, c = 9.132 Å
α = 105.70°, β = 111.12°, γ = 102.96°
Fractional coordinates of all 19 atoms:
In: 0.007 0.391 0.147
In: 0.108 0.194 0.525
In: 0.346 0.209 0.269
In: 0.654 0.791 0.731
In: 0.892 0.806 0.475
In: 0.993 0.609 0.853
Hg: 0.109 0.994 0.875
Hg: 0.200 0.813 0.247
Hg: 0.273 0.390 0.915
Hg: 0.360 0.968 0.640
Hg: 0.425 0.792 0.956
Hg: 0.461 0.588 0.331
Hg: 0.539 0.412 0.669
Hg: 0.575 0.208 0.044
Hg: 0.640 0.032 0.360
Hg: 0.727 0.610 0.085
Hg: 0.800 0.187 0.753
Hg: 0.891 0.006 0.125
Br: 0.000 0.500 0.500

Excess energy over the best structure of this formula in the dataset, meV/atom: 0
E_form (uncorrected), eV/atom: -0.0465
D(E_F), states/eV/cell: 5.41

***

The following is a PBE calculation of an optimized crystal structure of In3Hg7Br, from Alexandria via LeMat-Bulk.

a = 8.432 Å, b = 8.432 Å, c = 5.267 Å
α = 90.00°, β = 90.00°, γ = 120.00°
Fractional coordinates of all 11 atoms:
In: 0.183 0.366 0.000
In: 0.183 0.817 0.000
In: 0.634 0.817 0.000
Hg: 0.333 0.667 0.460
Hg: 0.380 0.190 0.261
Hg: 0.539 0.077 0.712
Hg: 0.539 0.461 0.712
Hg: 0.810 0.190 0.261
Hg: 0.810 0.620 0.261
Hg: 0.923 0.461 0.712
Br: 0.000 0.000 0.713

E_form (uncorrected), eV/atom: -0.0654
D(E_F), states/eV/cell: 4.24

***

The following is a PBE calculation of an optimized crystal structure of In3Hg5Br3, from Alexandria via LeMat-Bulk.

a = 9.364 Å, b = 9.364 Å, c = 5.614 Å
α = 90.00°, β = 90.00°, γ = 120.00°
Fractional coordinates of all 11 atoms:
In: 0.000 0.314 0.000
In: 0.314 0.000 0.000
In: 0.686 0.686 0.000
Hg: 0.000 0.674 0.000
Hg: 0.326 0.326 0.000
Hg: 0.333 0.667 0.000
Hg: 0.667 0.333 0.000
Hg: 0.674 0.000 0.000
Br: 0.000 0.404 0.500
Br: 0.404 0.000 0.500
Br: 0.596 0.596 0.500

E_form (uncorrected), eV/atom: -0.2583
D(E_F), states/eV/cell: 1.85

***

The following is a PBE calculation of an optimized crystal structure of In2HgBr4, from Alexandria via LeMat-Bulk.

a = 8.719 Å, b = 8.719 Å, c = 8.719 Å
α = 141.19°, β = 141.19°, γ = 56.05°
Fractional coordinates of all 7 atoms:
In: 0.128 0.128 0.000
In: 0.872 0.872 0.000
Hg: 0.500 0.500 0.000
Br: 0.000 0.500 0.500
Br: 0.324 0.324 0.000
Br: 0.500 0.000 0.500
Br: 0.676 0.676 0.000

E_form (uncorrected), eV/atom: -0.5066

***

The following is a PBE calculation of an optimized crystal structure of InHg14Br, from Alexandria via LeMat-Bulk.

a = 11.175 Å, b = 7.269 Å, c = 7.269 Å
α = 52.65°, β = 90.00°, γ = 90.00°
Fractional coordinates of all 16 atoms:
In: 0.000 0.000 0.000
Hg: 0.000 0.026 0.522
Hg: 0.000 0.522 0.026
Hg: 0.231 0.145 0.145
Hg: 0.256 0.158 0.650
Hg: 0.256 0.650 0.158
Hg: 0.260 0.666 0.666
Hg: 0.500 0.018 0.515
Hg: 0.500 0.035 0.035
Hg: 0.500 0.511 0.511
Hg: 0.500 0.515 0.018
Hg: 0.740 0.666 0.666
Hg: 0.744 0.158 0.650
Hg: 0.744 0.650 0.158
Hg: 0.769 0.145 0.145
Br: 0.000 0.529 0.529

E_form (uncorrected), eV/atom: -0.0507
D(E_F), states/eV/cell: 2.28

***

The following is a PBE calculation of an optimized crystal structure of InHgBr4, from Alexandria via LeMat-Bulk.

a = 6.477 Å, b = 6.477 Å, c = 6.477 Å
α = 60.00°, β = 60.00°, γ = 60.00°
Fractional coordinates of all 6 atoms:
In: 0.000 0.000 0.000
Hg: 0.250 0.250 0.250
Br: 0.127 0.624 0.624
Br: 0.624 0.127 0.624
Br: 0.624 0.624 0.127
Br: 0.624 0.624 0.624

Excess energy over the best structure of this formula in the dataset, meV/atom: 686
E_form (uncorrected), eV/atom: 0.1635
D(E_F), states/eV/cell: 8.09